No. 1
DFT (PBE) results for a geometry-optimized LaNdTe structure.

The structure in POSCAR format:
```
LaNdTe
1.0
4.075 0.000 0.000
0.000 4.075 0.000
-2.038 -2.038 5.933
Te Nd La
1 1 1
direct
0.623 0.623 0.247 Te
0.263 0.263 0.526 Nd
0.963 0.963 0.927 La
```

Values from the calculation:
Magnetic moment (μB/atom): 0.00
Space-group type: I4mm, No. 107
DOS at the Fermi energy (states/eV/atom): 1.1703
Relative energy among the computed polymorphs (meV/atom): 34
Raw total energy (eV per atom): -5.084
Calculated volume (Å³ per cell): 98.5

***

No. 2
DFT (PBE) results for a geometry-optimized LaNd3Te6 structure.

The structure in POSCAR format:
```
LaNd3Te6
1.0
-4.844 2.497 -5.605
-8.225 -1.375 0.953
-4.925 6.592 1.652
La Nd Te
1 3 6
direct
0.500 0.500 0.500 La
0.320 0.249 0.249 Nd
0.680 0.751 0.751 Nd
0.000 0.000 0.000 Nd
0.339 0.158 0.659 Te
0.661 0.341 0.842 Te
0.661 0.842 0.341 Te
0.339 0.659 0.158 Te
0.073 0.753 0.753 Te
0.927 0.247 0.247 Te
```

Values from the calculation:
Magnetic moment (μB/atom): 0.00
Space-group type: C2/m, No. 12
Relative energy among the computed polymorphs (meV/atom): 176
Raw total energy (eV per atom): -5.103
Calculated volume (Å³ per cell): 405.5

***

No. 3
DFT (PBE) results for a geometry-optimized LaNdTe2 structure.

The structure in POSCAR format:
```
LaNdTe2
1.0
-1.300 -0.486 -3.657
-2.432 -4.733 1.493
-4.611 2.770 1.271
Te Nd La
2 1 1
direct
0.000 0.000 0.500 Te
0.000 0.500 0.000 Te
0.500 0.000 0.000 Nd
0.500 0.500 0.500 La
```

Values from the calculation:
Magnetic moment (μB/atom): 0.18
Space-group type: P4/mmm, No. 123
DOS at the Fermi energy (states/eV/atom): 0.8975
Relative energy among the computed polymorphs (meV/atom): 118
Raw total energy (eV per atom): -5.391
Calculated volume (Å³ per cell): 119.5

***

No. 4
DFT (PBE) results for a geometry-optimized LaNdTe2 structure.

The structure in POSCAR format:
```
LaNdTe2
1.0
-1.864 1.605 3.663
-3.904 -1.551 1.351
1.761 -5.510 5.968
La Nd Te
1 1 2
direct
0.671 0.671 0.986 La
0.495 0.495 0.514 Nd
0.084 0.084 0.748 Te
0.249 0.249 0.253 Te
```

Values from the calculation:
Magnetic moment (μB/atom): 0.00
Space-group type: R3m, No. 160
DOS at the Fermi energy (states/eV/atom): 0.3545
Relative energy among the computed polymorphs (meV/atom): 22
Raw total energy (eV per atom): -5.487
Calculated volume (Å³ per cell): 133.4

***

No. 5
DFT (PBE) results for a geometry-optimized LaNd2Te structure.

The structure in POSCAR format:
```
LaNd2Te
1.0
4.054 0.000 0.000
2.027 3.511 0.000
2.027 1.170 10.075
La Nd Te
1 2 1
direct
0.500 0.500 0.501 La
0.070 0.070 0.790 Nd
0.264 0.264 0.209 Nd
0.667 0.667 0.999 Te
```

Values from the calculation:
Magnetic moment (μB/atom): 0.03
Space-group type: R3m, No. 160
DOS at the Fermi energy (states/eV/atom): 1.2038
Relative energy among the computed polymorphs (meV/atom): 137
Raw total energy (eV per atom): -4.970
Calculated volume (Å³ per cell): 143.4

***

No. 6
DFT (PBE) results for a geometry-optimized La3NdTe4 structure.

The structure in POSCAR format:
```
La3NdTe4
1.0
4.532 0.000 0.000
0.000 7.918 -0.053
0.000 -2.547 7.498
La Nd Te
3 1 4
direct
0.000 0.000 0.500 La
0.500 0.500 0.500 La
0.000 0.500 0.000 La
0.500 0.000 0.000 Nd
0.000 0.247 0.247 Te
0.500 0.752 0.248 Te
0.000 0.753 0.753 Te
0.500 0.248 0.752 Te
```

Values from the calculation:
Magnetic moment (μB/atom): 0.00
Space-group type: Cmmm, No. 65
DOS at the Fermi energy (states/eV/atom): 0.7476
Relative energy among the computed polymorphs (meV/atom): 2
Raw total energy (eV per atom): -5.568
Calculated volume (Å³ per cell): 268.4

***

No. 7
DFT (PBE) results for a geometry-optimized LaNdTe2 structure.

The structure in POSCAR format:
```
LaNdTe2
1.0
-0.427 -2.014 -3.946
-2.807 -0.977 3.313
-9.467 11.236 -4.710
La Nd Te
2 2 4
direct
0.667 0.333 0.250 La
0.333 0.667 0.750 La
0.000 0.000 0.500 Nd
0.000 0.000 0.000 Nd
0.333 0.667 0.379 Te
0.667 0.333 0.879 Te
0.667 0.333 0.621 Te
0.333 0.667 0.121 Te
```

Values from the calculation:
Magnetic moment (μB/atom): 0.00
Space-group type: P6_3/mmc, No. 194
DOS at the Fermi energy (states/eV/atom): 0.5876
Relative energy among the computed polymorphs (meV/atom): 20
Raw total energy (eV per atom): -5.488
Calculated volume (Å³ per cell): 264.7

***

No. 8
DFT (PBE) results for a geometry-optimized LaNdTe6 structure.

The structure in POSCAR format:
```
LaNdTe6
1.0
4.348 0.000 -0.747
0.000 4.413 0.000
0.162 0.000 13.975
La Nd Te
1 1 6
direct
0.172 0.500 0.345 La
0.828 0.000 0.657 Nd
0.577 0.500 0.154 Te
0.422 0.000 0.843 Te
0.294 0.500 0.588 Te
0.707 0.000 0.415 Te
0.922 0.500 0.844 Te
0.077 0.000 0.154 Te
```

Values from the calculation:
Magnetic moment (μB/atom): 0.00
Space-group type: Amm2, No. 38
DOS at the Fermi energy (states/eV/atom): 0.2597
Raw total energy (eV per atom): -4.601
Calculated volume (Å³ per cell): 268.7

***

No. 9
DFT (PBE) results for a geometry-optimized LaNd4Te5 structure.

The structure in POSCAR format:
```
LaNd4Te5
1.0
4.512 0.000 0.000
0.000 4.512 0.000
-2.256 -2.256 16.011
La Nd Te
1 4 5
direct
0.000 0.000 0.000 La
0.398 0.398 0.796 Nd
0.802 0.802 0.605 Nd
0.198 0.198 0.395 Nd
0.602 0.602 0.204 Nd
0.100 0.100 0.200 Te
0.500 0.500 0.000 Te
0.900 0.900 0.800 Te
0.298 0.298 0.597 Te
0.702 0.702 0.403 Te
```

Values from the calculation:
Magnetic moment (μB/atom): 0.00
Space-group type: I4/mmm, No. 139
DOS at the Fermi energy (states/eV/atom): 0.5496
Raw total energy (eV per atom): -5.427
Calculated volume (Å³ per cell): 325.9

***

No. 10
DFT (PBE) results for a geometry-optimized La4NdTe7 structure.

The structure in POSCAR format:
```
La4NdTe7
1.0
4.448 0.000 0.000
-2.224 7.252 -1.918
0.000 0.018 13.589
La Nd Te
4 1 7
direct
0.700 0.400 0.809 La
0.301 0.602 0.190 La
0.000 0.000 0.999 La
0.114 0.228 0.426 La
0.885 0.770 0.576 Nd
0.741 0.482 0.351 Te
0.262 0.525 0.651 Te
0.339 0.678 0.950 Te
0.661 0.322 0.050 Te
0.039 0.077 0.781 Te
0.961 0.922 0.216 Te
0.497 0.994 0.500 Te
```

Values from the calculation:
Magnetic moment (μB/atom): 0.00
Space-group type: Cm, No. 8
DOS at the Fermi energy (states/eV/atom): 0.1843
Raw total energy (eV per atom): -5.426
Calculated volume (Å³ per cell): 438.5

***

No. 11
DFT (PBE) results for a geometry-optimized LaNd5Te8 structure.

The structure in POSCAR format:
```
LaNd5Te8
1.0
-7.241 3.809 1.328
-0.458 -4.485 -6.956
1.689 -4.979 6.408
La Nd Te
1 5 8
direct
0.250 0.500 0.750 La
0.995 0.369 0.125 Nd
0.875 0.870 0.245 Nd
0.755 0.631 0.625 Nd
0.500 0.000 0.500 Nd
0.375 0.130 0.005 Nd
0.123 0.749 0.026 Te
0.974 0.097 0.723 Te
0.773 0.249 0.374 Te
0.626 0.398 0.875 Te
0.477 0.602 0.227 Te
0.626 0.903 0.877 Te
0.277 0.251 0.374 Te
0.125 0.751 0.523 Te
```

Values from the calculation:
Magnetic moment (μB/atom): 0.00
Space-group type: I-4, No. 82
DOS at the Fermi energy (states/eV/atom): 0.7264
Raw total energy (eV per atom): -5.308
Calculated volume (Å³ per cell): 438.4

***

No. 12
DFT (PBE) results for a geometry-optimized La4Nd3Te8 structure.

The structure in POSCAR format:
```
La4Nd3Te8
1.0
7.963 -0.185 -4.375
-5.142 7.457 -0.229
-0.209 0.137 9.057
La Nd Te
4 3 8
direct
0.500 0.000 0.000 La
0.000 0.500 0.000 La
0.000 0.000 0.000 La
0.000 0.000 0.500 La
0.500 0.500 0.000 Nd
0.500 0.000 0.500 Nd
0.500 0.500 0.500 Nd
0.513 0.258 0.258 Te
0.000 0.744 0.256 Te
0.003 0.258 0.258 Te
0.500 0.749 0.251 Te
0.500 0.251 0.749 Te
0.997 0.742 0.742 Te
0.000 0.256 0.744 Te
0.487 0.742 0.742 Te
```

Values from the calculation:
Magnetic moment (μB/atom): 0.00
Space-group type: C2/m, No. 12
DOS at the Fermi energy (states/eV/atom): 0.5707
Raw total energy (eV per atom): -5.482
Calculated volume (Å³ per cell): 525.7

***

- What is the raw total energy in the tenth record?
  -5.426 eV per atom

***

- Among the records above, which one has the lowest raw total energy?
  La3NdTe4